Entry from the Alexandria database: crystalline OsPbW2S at its relaxed geometry (PBE).

Cell lengths 4.5318, 4.4085, 4.5318 Å; angles 90.00, 90.00, 90.00 degrees
Element x y z (fractional)
Pb  0.5000  0.5000  0.5000
W  0.5000  0.0000  0.0000
W  0.0000  0.0000  0.5000
Os  0.0000  0.5000  0.0000
S  0.0000  0.0000  0.0000

Output
calculated total energy	-7.911	eV per atom
D(E_F)	3.0	states/eV/f.u.
formation energy without anion corrections	5.42	eV per formula unit

=====

Entry from the Alexandria database: crystalline SbOs2Pb at its relaxed geometry (PBE).

Cell lengths 4.6884, 4.6884, 4.6884 Å; angles 60.00, 60.00, 60.00 degrees
Element x y z (fractional)
Pb  0.5000  0.5000  0.5000
Sb  0.0000  0.0000  0.0000
Os  0.7500  0.7500  0.7500
Os  0.2500  0.2500  0.2500

Output
calculated total energy	-6.692	eV per atom
D(E_F)	2.4	states/eV/f.u.
formation energy without anion corrections	3.52	eV per formula unit

=====

Entry from the Alexandria database: crystalline Sb4OsPb at its relaxed geometry (PBE).

Cell lengths 6.1527, 6.1527, 6.1527 Å; angles 60.00, 60.00, 60.00 degrees
Element x y z (fractional)
Pb  0.0000  0.0000  0.0000
Sb  0.3760  0.3760  0.3760
Sb  0.3760  0.3760  0.8721
Sb  0.3760  0.8721  0.3760
Sb  0.8721  0.3760  0.3760
Os  0.7500  0.7500  0.7500

Output
calculated total energy	-4.189	eV per atom
D(E_F)	4.7	states/eV/f.u.
formation energy without anion corrections	6.29	eV per formula unit